Computed, not measured: a relaxed structure of CrNiMo2 at the GGA-PBE level of DFT.

## Properties
final energy = -72.8 eV/cell
theoretical density = 9.151 g cm⁻³
symmetry = C2/m, No. 12
ΔE to the lowest computed polymorph = 0.071 eV per atom
formation enthalpy at 0 K = 164 meV per atom
size of the total moment = 0.072 μB per atom

```
CrNiMo2
1.0
5.3168 0.0000 0.0000
0.0000 8.2317 0.0000
-0.6807 0.0000 2.5090
Cr Ni Mo
2 2 4
direct
0.0000 0.0000 0.0000
0.5000 0.5000 0.0000
0.0000 0.5000 0.0000
0.5000 0.0000 0.0000
0.2500 0.2500 0.5000
0.2500 0.7500 0.5000
0.7500 0.2500 0.5000
0.7500 0.7500 0.5000
```